Entry from Alexandria: an optimized crystal structure of ZnGaMo2 (PBE-GGA).

Calculated values
For the density of states at the Fermi level, the calculation gives 0.845 states/eV per atom. Its formation energy is 0.26 eV/atom. The calculation puts the uncorrected energy at -99.63 eV/cell.

Geometry as CIF:
```
data_ZnGaMo2
_symmetry_space_group_name_H-M 'F m -3 m'
_symmetry_Int_Tables_number 225
_symmetry_space_group_name_Hall '-F 4 2 3'
_cell_length_a 6.214
_cell_length_b 6.214
_cell_length_c 6.214
_cell_angle_alpha 90.00
_cell_angle_beta 90.00
_cell_angle_gamma 90.00
loop_
_atom_site_label
_atom_site_type_symbol
_atom_site_fract_x
_atom_site_fract_y
_atom_site_fract_z
Zn1 Zn 0.000 0.000 0.000
Ga1 Ga 0.000 0.000 0.500
Mo1 Mo 0.250 0.250 0.250
```